# 1
This record from Alexandria via LeMat-Bulk describes a relaxed structure of Pm2NdDy6Y3. The functional is PBE-GGA.

a b c (Å): 6.2058 10.7414 11.8506
angles (deg): 90.00 100.01 90.00
Space group C2/m (No. 12)
Unique sites:
Pm (0.0000, 0.1666, 0.0000) (multiplicity 4)
Nd (0.0000, 0.5000, 0.0000) (multiplicity 2)
Dy (0.2486, 0.1667, 0.7478) (multiplicity 8)
Dy (0.2488, 0.5000, 0.7478) (multiplicity 4)
Y (0.0000, 0.0000, 0.5000) (multiplicity 2)
Y (0.0000, 0.3333, 0.5000) (multiplicity 4)

Energy of formation ... 0.0178 eV per atom

=====

# 2
This record from Alexandria via LeMat-Bulk describes a relaxed structure of NdSm6Cd5. The functional is PBE-GGA.

a b c (Å): 5.3810 7.8744 16.2780
angles (deg): 90.00 90.00 90.00
Space group Immm (No. 71)
Unique sites:
Nd (0.0000, 0.0000, 0.0000) (multiplicity 2)
Sm (0.0000, 0.2278, 0.5000) (multiplicity 4)
Sm (0.0000, 0.2580, 0.1715) (multiplicity 8)
Cd (0.0000, 0.0000, 0.3301) (multiplicity 4)
Cd (0.0000, 0.5000, 0.0000) (multiplicity 2)
Cd (0.0000, 0.5000, 0.3445) (multiplicity 4)

Energy of formation ... -0.2152 eV per atom

=====

# 3
This record from Alexandria via LeMat-Bulk describes a relaxed structure of MnCu6Au8. The functional is PBE-GGA.

a b c (Å): 7.9667 7.9667 4.5835
angles (deg): 90.00 90.00 120.00
Space group P-3 (No. 147)
Unique sites:
Mn (0.0000, 0.0000, 0.0000) (multiplicity 1)
Cu (0.1327, 0.4889, 0.8466) (multiplicity 6)
Au (0.0040, 0.2864, 0.3258) (multiplicity 6)
Au (0.3333, 0.6667, 0.3452) (multiplicity 2)

Energy relative to the lowest polymorph listed for this composition ... 12.1 meV per atom
Energy of formation ... 0.1017 eV per atom

=====

# 4
This record from Alexandria via LeMat-Bulk describes a relaxed structure of CsHfNiTe3. The functional is PBE-GGA.

a b c (Å): 10.2534 4.0455 10.7936
angles (deg): 90.00 117.95 90.00
Space group P2_1/m (No. 11)
Unique sites:
Cs (0.0146, 0.2500, 0.2552) (multiplicity 2)
Hf (0.4704, 0.2500, 0.1712) (multiplicity 2)
Ni (0.4856, 0.7500, 0.3900) (multiplicity 2)
Te (0.2607, 0.7500, 0.1454) (multiplicity 2)
Te (0.3369, 0.2500, 0.8570) (multiplicity 2)
Te (0.3423, 0.7500, 0.5330) (multiplicity 2)

VASP energy ... -5.101 eV/atom

=====

# 5
This record from Alexandria via LeMat-Bulk describes a relaxed structure of Mg2ScW. The functional is PBE-GGA.

a b c (Å): 2.8839 2.8839 9.5193
angles (deg): 90.00 90.00 90.00
Space group P4mm (No. 99)
Unique sites:
Mg (0.0000, 0.0000, 0.0000) (multiplicity 1)
Mg (0.5000, 0.5000, 0.2627) (multiplicity 1)
Sc (0.0000, 0.0000, 0.5364) (multiplicity 1)
W (0.5000, 0.5000, 0.7678) (multiplicity 1)

Energy relative to the lowest polymorph listed for this composition ... 15.1 meV per atom
Energy of formation ... 0.2038 eV per atom

=====

# 6
This record from Alexandria via LeMat-Bulk describes a relaxed structure of FeTcRu. The functional is PBE-GGA.

a b c (Å): 2.6664 2.6664 11.1624
angles (deg): 90.00 90.00 90.00
Space group I4mm (No. 107)
Unique sites:
Fe (0.0000, 0.0000, 0.0000) (multiplicity 2)
Tc (0.0000, 0.0000, 0.3369) (multiplicity 2)
Ru (0.0000, 0.0000, 0.6611) (multiplicity 2)

Energy relative to the lowest polymorph listed for this composition ... 31.9 meV per atom
Energy of formation ... 0.1170 eV per atom